TaHO3 | PBE | optimized geometry

Properties
- DFT total energy: -330.3 eV per cell

```
data_TaHO3
_chemical_formula_sum 'Ta8 H8 O24'
_cell_length_a 7.760
_cell_length_b 7.760
_cell_length_c 10.230
_cell_angle_alpha 90.00
_cell_angle_beta 90.00
_cell_angle_gamma 90.00
_symmetry_space_group_name_H-M 'I 41/a m d'
_symmetry_Int_Tables_number 141
loop_
_symmetry_equiv_pos_as_xyz
'x,y,z'
'-x,-y,-z'
'-y+1/4,x+3/4,z+1/4'
'y+1/4,-x+3/4,-z+1/4'
'-x+1/2,-y,z+1/2'
'x+1/2,y,-z+1/2'
'y+1/4,-x+1/4,z+3/4'
'-y+1/4,x+1/4,-z+3/4'
'x,-y,-z'
'-x,y,z'
'-y+1/4,-x+1/4,-z+3/4'
'y+1/4,x+1/4,z+3/4'
'-x+1/2,y,-z+1/2'
'x+1/2,-y,z+1/2'
'y+1/4,x+3/4,-z+1/4'
'-y+1/4,-x+3/4,z+1/4'
'x+1/2,y+1/2,z+1/2'
'-x+1/2,-y+1/2,-z+1/2'
'-y+3/4,x+1/4,z+3/4'
'y+3/4,-x+1/4,-z+3/4'
'-x,-y+1/2,z'
'x,y+1/2,-z'
'y+3/4,-x+3/4,z+1/4'
'-y+3/4,x+3/4,-z+1/4'
'x+1/2,-y+1/2,-z+1/2'
'-x+1/2,y+1/2,z+1/2'
'-y+3/4,-x+3/4,-z+1/4'
'y+3/4,x+3/4,z+1/4'
'-x,y+1/2,-z'
'x,-y+1/2,z'
'y+3/4,x+1/4,-z+3/4'
'-y+3/4,-x+1/4,z+3/4'
loop_
_atom_site_label
_atom_site_fract_x
_atom_site_fract_y
_atom_site_fract_z
_atom_site_occupancy
Ta1 0.000 0.000 0.000 1
H1 0.000 0.250 0.177 1
O1 0.000 0.250 0.081 1
O2 0.175 0.075 0.875 1
```